1.
# Sm3Dy6Ho2Pb (GGA-PBE, relaxed)
data_Sm3Dy6Ho2Pb
_space_group_name_H-M_alt 'C 1 2/m 1'
_space_group_IT_number 12
_cell_length_a 6.133
_cell_length_b 10.628
_cell_length_c 11.670
_cell_angle_alpha 90.00
_cell_angle_beta 100.18
_cell_angle_gamma 90.00
loop_
_space_group_symop_operation_xyz
'x,y,z'
'-x,-y,-z'
'-x,y,-z'
'x,-y,z'
'x+1/2,y+1/2,z'
'-x+1/2,-y+1/2,-z'
'-x+1/2,y+1/2,-z'
'x+1/2,-y+1/2,z'
loop_
_atom_site_label
_atom_site_fract_x
_atom_site_fract_y
_atom_site_fract_z
Sm1 0.000 0.000 0.000
Sm2 0.000 0.332 0.000
Dy1 0.245 0.336 0.745
Dy2 0.247 0.500 0.253
Ho1 0.000 0.166 0.500
Pb1 0.000 0.500 0.500
# Energy relative to the elements ... -0.6 eV per formula unit
# Magnetic moment ... 0.006 μB per cell

---

2.
# Tb3Dy2Ho6Pb (GGA-PBE, relaxed)
data_Tb3Dy2Ho6Pb
_space_group_name_H-M_alt 'C 1 2/m 1'
_space_group_IT_number 12
_cell_length_a 6.080
_cell_length_b 10.537
_cell_length_c 11.642
_cell_angle_alpha 90.00
_cell_angle_beta 100.11
_cell_angle_gamma 90.00
loop_
_space_group_symop_operation_xyz
'x,y,z'
'-x,-y,-z'
'-x,y,-z'
'x,-y,z'
'x+1/2,y+1/2,z'
'-x+1/2,-y+1/2,-z'
'-x+1/2,y+1/2,-z'
'x+1/2,-y+1/2,z'
loop_
_atom_site_label
_atom_site_fract_x
_atom_site_fract_y
_atom_site_fract_z
Tb1 0.000 0.000 0.000
Tb2 0.000 0.333 0.000
Dy1 0.000 0.166 0.500
Ho1 0.246 0.336 0.748
Ho2 0.247 0.500 0.251
Pb1 0.000 0.500 0.500
# Energy relative to the elements ... -0.6 eV per formula unit
# Magnetic moment ... 0.001 μB per cell

---

3.
# Tb2Dy6Ho3Pb (GGA-PBE, relaxed)
data_Tb2Dy6Ho3Pb
_space_group_name_H-M_alt 'C 1 2/m 1'
_space_group_IT_number 12
_cell_length_a 6.080
_cell_length_b 10.538
_cell_length_c 11.675
_cell_angle_alpha 90.00
_cell_angle_beta 100.06
_cell_angle_gamma 90.00
loop_
_space_group_symop_operation_xyz
'x,y,z'
'-x,-y,-z'
'-x,y,-z'
'x,-y,z'
'x+1/2,y+1/2,z'
'-x+1/2,-y+1/2,-z'
'-x+1/2,y+1/2,-z'
'x+1/2,-y+1/2,z'
loop_
_atom_site_label
_atom_site_fract_x
_atom_site_fract_y
_atom_site_fract_z
Tb1 0.000 0.166 0.000
Dy1 0.246 0.500 0.749
Dy2 0.247 0.336 0.249
Ho1 0.000 0.000 0.500
Ho2 0.000 0.332 0.500
Pb1 0.000 0.500 0.000
# Energy relative to the elements ... -0.6 eV per formula unit
# Magnetic moment ... 0.001 μB per cell

---

4.
# Tb3Dy6Ho2Pb (GGA-PBE, relaxed)
data_Tb3Dy6Ho2Pb
_space_group_name_H-M_alt 'C 1 2/m 1'
_space_group_IT_number 12
_cell_length_a 6.096
_cell_length_b 10.566
_cell_length_c 11.655
_cell_angle_alpha 90.00
_cell_angle_beta 100.13
_cell_angle_gamma 90.00
loop_
_space_group_symop_operation_xyz
'x,y,z'
'-x,-y,-z'
'-x,y,-z'
'x,-y,z'
'x+1/2,y+1/2,z'
'-x+1/2,-y+1/2,-z'
'-x+1/2,y+1/2,-z'
'x+1/2,-y+1/2,z'
loop_
_atom_site_label
_atom_site_fract_x
_atom_site_fract_y
_atom_site_fract_z
Tb1 0.000 0.000 0.000
Tb2 0.000 0.332 0.000
Dy1 0.246 0.336 0.747
Dy2 0.247 0.500 0.251
Ho1 0.000 0.166 0.500
Pb1 0.000 0.500 0.500
# Energy relative to the elements ... -0.6 eV per formula unit
# Magnetic moment ... 0.001 μB per cell

---

5.
# Dy6Ho2Tm3Pb (GGA-PBE, relaxed)
data_Dy6Ho2Tm3Pb
_space_group_name_H-M_alt 'C 1 2/m 1'
_space_group_IT_number 12
_cell_length_a 6.060
_cell_length_b 10.499
_cell_length_c 11.616
_cell_angle_alpha 90.00
_cell_angle_beta 100.02
_cell_angle_gamma 90.00
loop_
_space_group_symop_operation_xyz
'x,y,z'
'-x,-y,-z'
'-x,y,-z'
'x,-y,z'
'x+1/2,y+1/2,z'
'-x+1/2,-y+1/2,-z'
'-x+1/2,y+1/2,-z'
'x+1/2,-y+1/2,z'
loop_
_atom_site_label
_atom_site_fract_x
_atom_site_fract_y
_atom_site_fract_z
Dy1 0.246 0.000 0.249
Dy2 0.248 0.165 0.750
Ho1 0.000 0.334 0.500
Tm1 0.000 0.167 0.000
Tm2 0.000 0.500 0.000
Pb1 0.000 0.000 0.500
# Energy relative to the elements ... -0.6 eV per formula unit
# Magnetic moment ... 0.001 μB per cell

---

6.
# Dy3Ho2Tm6Pb (GGA-PBE, relaxed)
data_Dy3Ho2Tm6Pb
_space_group_name_H-M_alt 'C 1 2/m 1'
_space_group_IT_number 12
_cell_length_a 6.035
_cell_length_b 10.459
_cell_length_c 11.556
_cell_angle_alpha 90.00
_cell_angle_beta 100.11
_cell_angle_gamma 90.00
loop_
_space_group_symop_operation_xyz
'x,y,z'
'-x,-y,-z'
'-x,y,-z'
'x,-y,z'
'x+1/2,y+1/2,z'
'-x+1/2,-y+1/2,-z'
'-x+1/2,y+1/2,-z'
'x+1/2,-y+1/2,z'
loop_
_atom_site_label
_atom_site_fract_x
_atom_site_fract_y
_atom_site_fract_z
Dy1 0.000 0.000 0.000
Dy2 0.000 0.333 0.000
Ho1 0.000 0.166 0.500
Tm1 0.246 0.335 0.748
Tm2 0.248 0.500 0.251
Pb1 0.000 0.500 0.500
# Energy relative to the elements ... -0.6 eV per formula unit
# Magnetic moment ... 0.017 μB per cell

---

7.
# Dy2Ho6Tm3Pb (GGA-PBE, relaxed)
data_Dy2Ho6Tm3Pb
_space_group_name_H-M_alt 'C 1 2/m 1'
_space_group_IT_number 12
_cell_length_a 6.043
_cell_length_b 10.475
_cell_length_c 11.606
_cell_angle_alpha 90.00
_cell_angle_beta 100.05
_cell_angle_gamma 90.00
loop_
_space_group_symop_operation_xyz
'x,y,z'
'-x,-y,-z'
'-x,y,-z'
'x,-y,z'
'x+1/2,y+1/2,z'
'-x+1/2,-y+1/2,-z'
'-x+1/2,y+1/2,-z'
'x+1/2,-y+1/2,z'
loop_
_atom_site_label
_atom_site_fract_x
_atom_site_fract_y
_atom_site_fract_z
Dy1 0.000 0.166 0.000
Ho1 0.247 0.500 0.748
Ho2 0.248 0.335 0.250
Tm1 0.000 0.000 0.500
Tm2 0.000 0.333 0.500
Pb1 0.000 0.500 0.000
# Energy relative to the elements ... -0.6 eV per formula unit
# Magnetic moment ... 0.001 μB per cell

---

8.
# Dy2Ho3Tm6Pb (GGA-PBE, relaxed)
data_Dy2Ho3Tm6Pb
_space_group_name_H-M_alt 'C 1 2/m 1'
_space_group_IT_number 12
_cell_length_a 6.027
_cell_length_b 10.446
_cell_length_c 11.564
_cell_angle_alpha 90.00
_cell_angle_beta 100.08
_cell_angle_gamma 90.00
loop_
_space_group_symop_operation_xyz
'x,y,z'
'-x,-y,-z'
'-x,y,-z'
'x,-y,z'
'x+1/2,y+1/2,z'
'-x+1/2,-y+1/2,-z'
'-x+1/2,y+1/2,-z'
'x+1/2,-y+1/2,z'
loop_
_atom_site_label
_atom_site_fract_x
_atom_site_fract_y
_atom_site_fract_z
Dy1 0.000 0.166 0.000
Ho1 0.000 0.000 0.500
Ho2 0.000 0.333 0.500
Tm1 0.247 0.335 0.249
Tm2 0.247 0.500 0.750
Pb1 0.000 0.500 0.000
# Energy relative to the elements ... -0.6 eV per formula unit
# Magnetic moment ... 0.012 μB per cell

---

9.
# DyHoZnPb (GGA-PBE, relaxed)
data_DyHoZnPb
_space_group_name_H-M_alt 'F -4 3 m'
_space_group_IT_number 216
_space_group_name_Hall 'F -4 2 3'
_cell_length_a 7.395
_cell_length_b 7.395
_cell_length_c 7.395
_cell_angle_alpha 90.00
_cell_angle_beta 90.00
_cell_angle_gamma 90.00
loop_
_atom_site_label
_atom_site_fract_x
_atom_site_fract_y
_atom_site_fract_z
Dy1 0.000 0.000 0.000
Ho1 0.000 0.000 0.500
Zn1 0.250 0.250 0.250
Pb1 0.250 0.250 0.750
# Energy relative to the elements ... -1.4 eV per formula unit
# Magnetic moment ... 0.000 μB per cell

---

10.
# DyHo3Pd2 (GGA-PBE, relaxed)
data_DyHo3Pd2
_space_group_name_H-M_alt 'P m c 21'
_space_group_IT_number 26
_cell_length_a 3.757
_cell_length_b 9.699
_cell_length_c 8.499
_cell_angle_alpha 90.00
_cell_angle_beta 90.00
_cell_angle_gamma 90.00
loop_
_space_group_symop_operation_xyz
'x,y,z'
'-x,-y,z+1/2'
'-x,y,z'
'x,-y,z+1/2'
loop_
_atom_site_label
_atom_site_fract_x
_atom_site_fract_y
_atom_site_fract_z
Dy1 0.000 0.067 0.000
Ho1 0.000 0.285 0.659
Ho2 0.500 0.216 0.320
Ho3 0.500 0.434 0.980
Pd1 0.000 0.427 0.253
Pd2 0.500 0.073 0.726
# Energy above the most stable polymorph in this dataset ... 0.000 eV per atom
# Energy relative to the elements ... -3.6 eV per formula unit
# Magnetic moment ... 0.021 μB per cell

---

11.
# DyHoPd (GGA-PBE, relaxed)
data_DyHoPd
_space_group_name_H-M_alt 'P 1 21/c 1'
_space_group_IT_number 14
_cell_length_a 7.042
_cell_length_b 6.701
_cell_length_c 7.347
_cell_angle_alpha 90.00
_cell_angle_beta 104.76
_cell_angle_gamma 90.00
loop_
_space_group_symop_operation_xyz
'x,y,z'
'-x,-y,-z'
'-x,y+1/2,-z+1/2'
'x,-y+1/2,z+1/2'
loop_
_atom_site_label
_atom_site_fract_x
_atom_site_fract_y
_atom_site_fract_z
Dy1 0.063 0.250 0.016
Ho1 0.460 0.745 0.111
Pd1 0.214 0.543 0.800
# Energy above the most stable polymorph in this dataset ... 0.068 eV per atom
# Energy relative to the elements ... -1.5 eV per formula unit
# Magnetic moment ... 0.000 μB per cell

---

12.
# DyHo4Pd2 (GGA-PBE, relaxed)
data_DyHo4Pd2
_space_group_name_H-M_alt 'P 1 21/m 1'
_space_group_IT_number 11
_cell_length_a 7.803
_cell_length_b 6.341
_cell_length_c 8.082
_cell_angle_alpha 90.00
_cell_angle_beta 112.75
_cell_angle_gamma 90.00
loop_
_space_group_symop_operation_xyz
'x,y,z'
'-x,-y,-z'
'-x,y+1/2,-z'
'x,-y+1/2,z'
loop_
_atom_site_label
_atom_site_fract_x
_atom_site_fract_y
_atom_site_fract_z
Dy1 0.155 0.250 0.026
Ho1 0.021 0.250 0.392
Ho2 0.246 0.750 0.348
Ho3 0.407 0.004 0.771
Pd1 0.237 0.750 0.991
Pd2 0.382 0.250 0.419
# Energy above the most stable polymorph in this dataset ... 0.000 eV per atom
# Energy relative to the elements ... -3.1 eV per formula unit
# Magnetic moment ... 0.000 μB per cell

---

13.
# Dy2Ho3Pd2 (GGA-PBE, relaxed)
data_Dy2Ho3Pd2
_space_group_name_H-M_alt 'P -1'
_space_group_IT_number 2
_cell_length_a 3.691
_cell_length_b 6.571
_cell_length_c 8.325
_cell_angle_alpha 84.24
_cell_angle_beta 77.29
_cell_angle_gamma 73.76
loop_
_space_group_symop_operation_xyz
'x,y,z'
'-x,-y,-z'
loop_
_atom_site_label
_atom_site_fract_x
_atom_site_fract_y
_atom_site_fract_z
Dy1 0.113 0.150 0.125
Ho1 0.343 0.601 0.212
Ho2 0.500 0.000 0.500
Pd1 0.141 0.646 0.573
# Energy above the most stable polymorph in this dataset ... 0.132 eV per atom
# Energy relative to the elements ... -2.8 eV per formula unit
# Magnetic moment ... 0.000 μB per cell

---

14.
# DyHo6Pd2 (GGA-PBE, relaxed)
data_DyHo6Pd2
_space_group_name_H-M_alt 'C 1 2/m 1'
_space_group_IT_number 12
_cell_length_a 16.008
_cell_length_b 3.666
_cell_length_c 10.759
_cell_angle_alpha 90.00
_cell_angle_beta 129.20
_cell_angle_gamma 90.00
loop_
_space_group_symop_operation_xyz
'x,y,z'
'-x,-y,-z'
'-x,y,-z'
'x,-y,z'
'x+1/2,y+1/2,z'
'-x+1/2,-y+1/2,-z'
'-x+1/2,y+1/2,-z'
'x+1/2,-y+1/2,z'
loop_
_atom_site_label
_atom_site_fract_x
_atom_site_fract_y
_atom_site_fract_z
Dy1 0.000 0.000 0.000
Ho1 0.033 0.000 0.689
Ho2 0.194 0.500 0.054
Ho3 0.213 0.500 0.610
Pd1 0.094 0.500 0.267
# Energy relative to the elements ... -3.4 eV per formula unit
# Magnetic moment ... 0.000 μB per cell

---

15.
# DyHo3Pd2 (GGA-PBE, relaxed)
data_DyHo3Pd2
_space_group_name_H-M_alt 'I b a m'
_space_group_IT_number 72
_space_group_name_Hall '-I 2 2c'
_cell_length_a 6.902
_cell_length_b 13.653
_cell_length_c 7.067
_cell_angle_alpha 90.00
_cell_angle_beta 90.00
_cell_angle_gamma 90.00
loop_
_atom_site_label
_atom_site_fract_x
_atom_site_fract_y
_atom_site_fract_z
Dy1 0.000 0.000 0.000
Ho1 0.000 0.234 0.250
Ho2 0.000 0.500 0.250
Pd1 0.209 0.360 0.000
# Energy above the most stable polymorph in this dataset ... 0.096 eV per atom
# Energy relative to the elements ... -3.1 eV per formula unit
# Magnetic moment ... 0.000 μB per cell

---

16.
# Dy6HoPd2 (GGA-PBE, relaxed)
data_Dy6HoPd2
_space_group_name_H-M_alt 'C 1 2/m 1'
_space_group_IT_number 12
_cell_length_a 16.061
_cell_length_b 3.680
_cell_length_c 10.777
_cell_angle_alpha 90.00
_cell_angle_beta 129.17
_cell_angle_gamma 90.00
loop_
_space_group_symop_operation_xyz
'x,y,z'
'-x,-y,-z'
'-x,y,-z'
'x,-y,z'
'x+1/2,y+1/2,z'
'-x+1/2,-y+1/2,-z'
'-x+1/2,y+1/2,-z'
'x+1/2,-y+1/2,z'
loop_
_atom_site_label
_atom_site_fract_x
_atom_site_fract_y
_atom_site_fract_z
Dy1 0.032 0.000 0.190
Dy2 0.194 0.500 0.555
Dy3 0.214 0.500 0.110
Ho1 0.000 0.000 0.500
Pd1 0.093 0.500 0.765
# Energy relative to the elements ... -3.4 eV per formula unit
# Magnetic moment ... 0.000 μB per cell

---

17.
# DyHo3Pd6 (GGA-PBE, relaxed)
data_DyHo3Pd6
_space_group_name_H-M_alt 'P 1 21/m 1'
_space_group_IT_number 11
_cell_length_a 8.294
_cell_length_b 4.907
_cell_length_c 10.305
_cell_angle_alpha 90.00
_cell_angle_beta 106.94
_cell_angle_gamma 90.00
loop_
_space_group_symop_operation_xyz
'x,y,z'
'-x,-y,-z'
'-x,y+1/2,-z'
'x,-y+1/2,z'
loop_
_atom_site_label
_atom_site_fract_x
_atom_site_fract_y
_atom_site_fract_z
Dy1 0.064 0.250 0.388
Ho1 0.211 0.250 0.013
Ho2 0.358 0.750 0.807
Ho3 0.479 0.250 0.614
Pd1 0.077 0.750 0.898
Pd2 0.146 0.750 0.201
Pd3 0.155 0.250 0.699
Pd4 0.245 0.750 0.514
Pd5 0.362 0.250 0.305
Pd6 0.446 0.750 0.094
# Energy relative to the elements ... -8.6 eV per formula unit
# Magnetic moment ... 0.000 μB per cell

---

18.
# DyHo3Pd3 (GGA-PBE, relaxed)
data_DyHo3Pd3
_space_group_name_H-M_alt 'C 1 2/m 1'
_space_group_IT_number 12
_cell_length_a 9.174
_cell_length_b 10.407
_cell_length_c 7.074
_cell_angle_alpha 90.00
_cell_angle_beta 92.06
_cell_angle_gamma 90.00
loop_
_space_group_symop_operation_xyz
'x,y,z'
'-x,-y,-z'
'-x,y,-z'
'x,-y,z'
'x+1/2,y+1/2,z'
'-x+1/2,-y+1/2,-z'
'-x+1/2,y+1/2,-z'
'x+1/2,-y+1/2,z'
loop_
_atom_site_label
_atom_site_fract_x
_atom_site_fract_y
_atom_site_fract_z
Dy1 0.237 0.000 0.377
Ho1 0.000 0.250 0.500
Ho2 0.000 0.323 0.000
Ho3 0.153 0.000 0.866
Pd1 0.062 0.500 0.307
Pd2 0.242 0.245 0.221
# Energy above the most stable polymorph in this dataset ... 0.006 eV per atom
# Energy relative to the elements ... -4.9 eV per formula unit
# Magnetic moment ... 0.000 μB per cell

---

19.
# Dy2Ho5Pd4 (GGA-PBE, relaxed)
data_Dy2Ho5Pd4
_space_group_name_H-M_alt 'C 1 2/m 1'
_space_group_IT_number 12
_cell_length_a 24.476
_cell_length_b 3.585
_cell_length_c 6.757
_cell_angle_alpha 90.00
_cell_angle_beta 91.62
_cell_angle_gamma 90.00
loop_
_space_group_symop_operation_xyz
'x,y,z'
'-x,-y,-z'
'-x,y,-z'
'x,-y,z'
'x+1/2,y+1/2,z'
'-x+1/2,-y+1/2,-z'
'-x+1/2,y+1/2,-z'
'x+1/2,-y+1/2,z'
loop_
_atom_site_label
_atom_site_fract_x
_atom_site_fract_y
_atom_site_fract_z
Dy1 0.235 0.000 0.252
Ho1 0.000 0.500 0.500
Ho2 0.091 0.000 0.167
Ho3 0.134 0.000 0.677
Pd1 0.026 0.000 0.813
Pd2 0.170 0.500 0.994
# Energy relative to the elements ... -4.7 eV per formula unit
# Magnetic moment ... 0.000 μB per cell

---

20.
# Dy3HoPd6 (GGA-PBE, relaxed)
data_Dy3HoPd6
_space_group_name_H-M_alt 'P 1 21/m 1'
_space_group_IT_number 11
_cell_length_a 8.305
_cell_length_b 4.920
_cell_length_c 10.331
_cell_angle_alpha 90.00
_cell_angle_beta 107.09
_cell_angle_gamma 90.00
loop_
_space_group_symop_operation_xyz
'x,y,z'
'-x,-y,-z'
'-x,y+1/2,-z'
'x,-y+1/2,z'
loop_
_atom_site_label
_atom_site_fract_x
_atom_site_fract_y
_atom_site_fract_z
Dy1 0.021 0.250 0.386
Dy2 0.141 0.750 0.194
Dy3 0.292 0.250 0.988
Ho1 0.436 0.250 0.610
Pd1 0.056 0.750 0.907
Pd2 0.142 0.250 0.695
Pd3 0.258 0.750 0.488
Pd4 0.348 0.250 0.302
Pd5 0.354 0.750 0.800
Pd6 0.424 0.750 0.106
# Energy relative to the elements ... -8.5 eV per formula unit
# Magnetic moment ... 0.000 μB per cell